Material: Na3Cr2RhO6
Method: DFT, PBE with a Hubbard U
State: optimized geometry

Values from the calculation:
* total energy: -0.23249 Ha/atom

Cell lengths 5.311, 9.194, 5.636 Å; angles 90.00, 108.26, 90.00 degrees
Space group C2/m (No. 12)
Inequivalent atoms, fractional coordinates:
Na 0.000 0.000 0.000 (multiplicity 2)
Na 0.000 0.336 0.000 (multiplicity 4)
Cr 0.000 0.167 0.500 (multiplicity 4)
Rh 0.000 0.500 0.500 (multiplicity 2)
O 0.225 0.000 0.700 (multiplicity 4)
O 0.238 0.329 0.701 (multiplicity 8)